Entry 1:
Nd2Ni3As4Pt after structural relaxation, computed with GGA-PBE.

space-group type = P-4m2
energy relative to the elements = -0.838 eV/atom
energy = -5.990 eV per atom

a = 4.2832 Å, b = 4.2832 Å, c = 9.5834 Å
α = 90.00°, β = 90.00°, γ = 90.00°
With the nearest neighbours (Å) after each atom.
Atoms (fractional coordinates):
Nd  0.0000  0.5000  0.2464  8 As 3.19-3.22, 7 Ni 3.24-3.46, 2 Pt 3.24
Nd  0.5000  0.0000  0.7536  8 As 3.19-3.22, 7 Ni 3.24-3.46, 2 Pt 3.24
Ni  0.0000  0.5000  0.8858  5 As 2.37-2.41
Ni  0.5000  0.0000  0.1142  5 As 2.37-2.41
Ni  0.5000  0.5000  0.5000  4 As 2.52
As  0.0000  0.0000  0.0000  4 Ni 2.41
As  0.0000  0.5000  0.6387  3 Ni 2.37-2.52, 2 Pt 2.52
As  0.5000  0.0000  0.3613  3 Ni 2.37-2.52, 2 Pt 2.52
As  0.5000  0.5000  0.0000  4 Ni 2.41
Pt  0.0000  0.0000  0.5000  4 As 2.52

=====

Entry 2:
Nd2Ni4As3Pt after structural relaxation, computed with GGA-PBE.

space-group type = P-4m2
energy relative to the elements = -0.752 eV/atom
energy = -6.017 eV per atom

a = 4.1432 Å, b = 4.1432 Å, c = 9.8609 Å
α = 90.00°, β = 90.00°, γ = 90.00°
With the nearest neighbours (Å) after each atom.
Atoms (fractional coordinates):
Nd  0.0000  0.5000  0.2473  8 Ni 3.14-3.20, 6 As 3.16-3.24, 2 Pt 3.24
Nd  0.5000  0.0000  0.7527  8 Ni 3.14-3.20, 6 As 3.16-3.24, 2 Pt 3.24
Ni  0.0000  0.0000  0.0000  4 As 2.42
Ni  0.0000  0.5000  0.6373  3 As 2.33-2.47, 2 Pt 2.47
Ni  0.5000  0.0000  0.3627  3 As 2.33-2.47, 2 Pt 2.47
Ni  0.5000  0.5000  0.0000  4 As 2.42
As  0.0000  0.5000  0.8732  5 Ni 2.33-2.42
As  0.5000  0.0000  0.1268  5 Ni 2.33-2.42
As  0.5000  0.5000  0.5000  4 Ni 2.47
Pt  0.0000  0.0000  0.5000  4 Ni 2.47

=====

Entry 3:
Nd2NiAs4Rh3 after structural relaxation, computed with GGA-PBE.

space-group type = P-4m2
energy relative to the elements = -0.875 eV/atom
energy = -6.472 eV per atom

a = 4.3072 Å, b = 4.3072 Å, c = 9.8827 Å
α = 90.00°, β = 90.00°, γ = 90.00°
With the nearest neighbours (Å) after each atom.
Atoms (fractional coordinates):
Nd  0.0000  0.5000  0.2485  2 Ni 3.27, 6 Rh 3.27-3.30, 8 As 3.27-3.29
Nd  0.5000  0.0000  0.7515  2 Ni 3.27, 6 Rh 3.27-3.30, 8 As 3.27-3.29
Ni  0.5000  0.5000  0.0000  4 As 2.50
As  0.0000  0.0000  0.5000  4 Rh 2.47
As  0.0000  0.5000  0.8712  3 Rh 2.46-2.50, 2 Ni 2.50
As  0.5000  0.0000  0.1288  3 Rh 2.46-2.50, 2 Ni 2.50
As  0.5000  0.5000  0.5000  4 Rh 2.47
Rh  0.0000  0.0000  0.0000  4 As 2.50
Rh  0.0000  0.5000  0.6227  5 As 2.46-2.47
Rh  0.5000  0.0000  0.3773  5 As 2.46-2.47

=====

Entry 4:
Nd2Ni4As3Rh after structural relaxation, computed with GGA-PBE.

space-group type = P-4m2
energy relative to the elements = -0.710 eV/atom
energy = -6.106 eV per atom

a = 4.0870 Å, b = 4.0870 Å, c = 9.9800 Å
α = 90.00°, β = 90.00°, γ = 90.00°
With the nearest neighbours (Å) after each atom.
Atoms (fractional coordinates):
Nd  0.0000  0.5000  0.2497  8 Ni 3.10-3.22, 6 As 3.14-3.23, 2 Rh 3.23
Nd  0.5000  0.0000  0.7503  8 Ni 3.10-3.22, 6 As 3.14-3.23, 2 Rh 3.23
Ni  0.0000  0.0000  0.0000  4 As 2.40
Ni  0.0000  0.5000  0.6387  3 As 2.34-2.47, 2 Rh 2.47
Ni  0.5000  0.0000  0.3613  3 As 2.34-2.47, 2 Rh 2.47
Ni  0.5000  0.5000  0.0000  4 As 2.40
As  0.0000  0.5000  0.8730  5 Ni 2.34-2.40
As  0.5000  0.0000  0.1270  5 Ni 2.34-2.40
As  0.5000  0.5000  0.5000  4 Ni 2.47
Rh  0.0000  0.0000  0.5000  4 Ni 2.47

=====

Entry 5:
Nd2Ni3As4Ru after structural relaxation, computed with GGA-PBE.

space-group type = P-4m2
energy relative to the elements = -0.782 eV/atom
energy = -6.258 eV per atom

a = 4.1945 Å, b = 4.1945 Å, c = 9.7726 Å
α = 90.00°, β = 90.00°, γ = 90.00°
With the nearest neighbours (Å) after each atom.
Atoms (fractional coordinates):
Nd  0.0000  0.5000  0.2452  8 As 3.18, 7 Ni 3.21-3.55, 2 Ru 3.26
Nd  0.5000  0.0000  0.7548  8 As 3.18, 7 Ni 3.21-3.55, 2 Ru 3.26
Ni  0.0000  0.5000  0.8815  5 As 2.38-2.40
Ni  0.5000  0.0000  0.1185  5 As 2.38-2.40
Ni  0.5000  0.5000  0.5000  4 As 2.49
As  0.0000  0.0000  0.0000  4 Ni 2.40
As  0.0000  0.5000  0.6377  3 Ni 2.38-2.49, 2 Ru 2.49
As  0.5000  0.0000  0.3623  3 Ni 2.38-2.49, 2 Ru 2.49
As  0.5000  0.5000  0.0000  4 Ni 2.40
Ru  0.0000  0.0000  0.5000  4 As 2.49

=====

Entry 6:
Nd2Ni4SbAs3 after structural relaxation, computed with GGA-PBE.

formation energy (no corrections) = -0.7487 eV per atom
space-group type = P-4m2
energy = -5.822 eV per atom

a = 4.2431 Å, b = 4.2431 Å, c = 9.8243 Å
α = 90.00°, β = 90.00°, γ = 90.00°
With the nearest neighbours (Å) after each atom.
Atoms (fractional coordinates):
Nd  0.0000  0.5000  0.2342  8 Ni 3.13-3.27, 6 As 3.19-3.36, 2 Sb 3.36
Nd  0.5000  0.0000  0.7658  8 Ni 3.13-3.27, 6 As 3.19-3.36, 2 Sb 3.36
Ni  0.0000  0.0000  0.0000  4 As 2.45
Ni  0.0000  0.5000  0.6346  3 As 2.37-2.50, 2 Sb 2.50
Ni  0.5000  0.0000  0.3654  3 As 2.37-2.50, 2 Sb 2.50
Ni  0.5000  0.5000  0.0000  4 As 2.45
Sb  0.0000  0.0000  0.5000  4 Ni 2.50
As  0.0000  0.5000  0.8754  5 Ni 2.37-2.45
As  0.5000  0.0000  0.1246  5 Ni 2.37-2.45
As  0.5000  0.5000  0.5000  4 Ni 2.50

=====

Entry 7:
NdSmNi2As2 after structural relaxation, computed with GGA-PBE.

space-group type = P-3m1
energy relative to the elements = -1.043 eV/atom
energy = -6.102 eV per atom

a = 4.1041 Å, b = 4.1041 Å, c = 8.0566 Å
α = 90.00°, β = 90.00°, γ = 120.00°
With the nearest neighbours (Å) after each atom.
Atoms (fractional coordinates):
Nd  0.0000  0.0000  0.0000  6 Ni 3.12, 6 As 3.13
Sm  0.0000  0.0000  0.5000  6 As 3.09, 6 Ni 3.10
Ni  0.3333  0.6667  0.7479  3 As 2.37
Ni  0.6667  0.3333  0.2521  3 As 2.37
As  0.3333  0.6667  0.2538  3 Ni 2.37
As  0.6667  0.3333  0.7462  3 Ni 2.37

=====

Entry 8:
Nd2Ni4SnAs3 after structural relaxation, computed with GGA-PBE.

space-group type = P-4m2
energy relative to the elements = -0.739 eV/atom
energy = -5.801 eV per atom

a = 4.1814 Å, b = 4.1814 Å, c = 10.0618 Å
α = 90.00°, β = 90.00°, γ = 90.00°
With the nearest neighbours (Å) after each atom.
Atoms (fractional coordinates):
Nd  0.0000  0.5000  0.2333  8 Ni 3.14-3.22, 6 As 3.15-3.40, 2 Sn 3.40
Nd  0.5000  0.0000  0.7667  8 Ni 3.14-3.22, 6 As 3.15-3.40, 2 Sn 3.40
Ni  0.0000  0.0000  0.0000  4 As 2.44
Ni  0.0000  0.5000  0.6405  3 As 2.36-2.52, 2 Sn 2.52
Ni  0.5000  0.0000  0.3595  3 As 2.36-2.52, 2 Sn 2.52
Ni  0.5000  0.5000  0.0000  4 As 2.44
Sn  0.0000  0.0000  0.5000  4 Ni 2.52
As  0.0000  0.5000  0.8747  5 Ni 2.36-2.44
As  0.5000  0.0000  0.1253  5 Ni 2.36-2.44
As  0.5000  0.5000  0.5000  4 Ni 2.52

=====

energy of number 2 (Nd2Ni4As3Pt)?
-6.017 eV per atom